A plane-wave DFT calculation with PBE+U was carried out for crystalline Nb2MoSeO at its relaxed geometry.

abc: 5.0123 5.0123 3.7524
angles: 90.00 90.00 90.00
Closest atoms and distances in Å follow each position.
Space group P4/mmm (No. 123)
One atom of each set of equivalent atoms:
Nb 0.0000 0.5000 0.0000 x2  2 Se 2.51
Mo 0.0000 0.0000 0.5000 x1  8 Nb 3.13
Se 0.5000 0.5000 0.0000 x1  2 O 1.88
O 0.5000 0.5000 0.5000 x1  2 Se 1.88

Properties
DOS(E_F)	3.804	states/eV/cell
total energy	-31.4	eV/cell
spin magnetization	1.20	Bohr magnetons per cell

---

A plane-wave DFT calculation with PBE+U was carried out for crystalline Sr3Nb2MoO9 at its relaxed geometry.

abc: 5.7977 5.7977 7.1169
angles: 90.00 90.00 120.00
Closest atoms and distances in Å follow each position.
Space group P-3m1 (No. 164)
One atom of each set of equivalent atoms:
Sr 0.0000 0.0000 0.0000 x1  12 O 2.88-2.90
Sr 0.3333 0.6667 0.6629 x2  12 O 2.90-2.93
Nb 0.3333 0.6667 0.1683 x2  6 O 1.99-2.06
Mo 0.0000 0.0000 0.5000 x1  6 O 2.10
O 0.0000 0.5000 0.0000 x3  2 Nb 2.06
O 0.1697 0.3394 0.3270 x6  1 Nb 1.99, 1 Mo 2.10

Properties
DOS(E_F)	2.576	states/eV/cell
total energy	-116.6	eV/cell
spin magnetization	1.99	Bohr magnetons per cell

---

A plane-wave DFT calculation with PBE+U was carried out for crystalline Sr4Nb3MoO12 at its relaxed geometry.

abc: 8.1974 8.1974 8.1974
angles: 90.00 90.00 90.00
Closest atoms and distances in Å follow each position.
Space group Im-3m (No. 229)
One atom of each set of equivalent atoms:
Sr 0.2500 0.2500 0.2500 x8  12 O 2.90
Nb 0.0000 0.0000 0.5000 x6  6 O 2.00-2.05
Mo 0.0000 0.0000 0.0000 x2  6 O 2.10
O 0.0000 0.0000 0.2556 x12  1 Nb 2.00, 1 Mo 2.10
O 0.0000 0.2500 0.5000 x12  2 Nb 2.05

Properties
DOS(E_F)	4.872	states/eV/cell
total energy	-314.0	eV/cell
spin magnetization	1.93	Bohr magnetons per cell

---

A plane-wave DFT calculation with PBE+U was carried out for crystalline SrNbMoO6 at its relaxed geometry.

abc: 5.0149 5.0149 9.9347
angles: 90.00 90.00 90.00
Closest atoms and distances in Å follow each position.
Space group P4_2nm (No. 102)
One atom of each set of equivalent atoms:
Sr 0.0000 0.0000 0.0000 x2  6 O 2.35-2.61
Nb 0.0000 0.0000 0.3419 x2  6 O 1.95-2.18
Mo 0.0000 0.0000 0.6668 x2  4 O 1.91-2.01
O 0.1690 0.1690 0.5039 x4  1 Nb 2.01, 1 Mo 2.01
O 0.2304 0.2304 0.8060 x4  1 Nb 1.95, 1 Mo 2.14
O 0.2355 0.2355 0.2014 x4  1 Mo 1.91

Properties
DOS(E_F)	0.000	states/eV/cell
total energy	-138.5	eV/cell
spin magnetization	2.00	Bohr magnetons per cell